Here is crystalline PbBr at its relaxed geometry from the Alexandria database. Energies are from PBEsol.

formation energy from raw total energies	-0.1771	eV per atom
symmetry	No. 227
crystal system	cubic

abc: 5.375 5.375 5.375
angles: 60.00 60.00 60.00
Fractional positions:
Pb  0.000  0.000  0.000
Pb  0.250  0.250  0.250
Br  0.500  0.500  0.500
Br  0.750  0.750  0.750


Here is crystalline MoRhBr2 at its relaxed geometry from the Alexandria database. Energies are from PBEsol.

formation energy from raw total energies	0.3082	eV per atom
symmetry	No. 44
crystal system	orthorhombic

abc: 3.055 3.373 8.734
angles: 101.14 100.07 90.00
Fractional positions:
Mo  0.424  0.424  0.849
Rh  0.330  0.830  0.661
Br  0.020  0.020  0.040
Br  0.725  0.225  0.450


Here is crystalline SrMg2Pd at its relaxed geometry from the Alexandria database. Energies are from PBEsol.

symmetry	No. 63
energy relative to the elements	-436.9	meV per atom
crystal system	orthorhombic

abc: 4.352 5.948 8.168
angles: 90.00 90.00 111.46
Fractional positions:
Sr  0.554  0.108  0.750
Sr  0.446  0.892  0.250
Mg  0.836  0.672  0.559
Mg  0.164  0.328  0.441
Mg  0.164  0.328  0.059
Mg  0.836  0.672  0.941
Pd  0.271  0.542  0.750
Pd  0.729  0.458  0.250


Here is crystalline Os at its relaxed geometry from the Alexandria database. Energies are from PBEsol.

symmetry	No. 227
energy relative to the elements	1504.8	meV per atom
crystal system	cubic
energy relative to the lowest polymorph listed for this composition	1504.8	meV per atom

abc: 3.899 3.899 3.899
angles: 60.00 60.00 60.00
Fractional positions:
Os  0.250  0.250  0.250
Os  0.000  0.000  0.000


Here is crystalline BeZnIr2Se at its relaxed geometry from the Alexandria database. Energies are from PBEsol.

formation energy from raw total energies	1.6552	eV per atom
symmetry	No. 123
crystal system	tetragonal

abc: 4.432 4.549 4.549
angles: 90.00 90.00 90.00
Fractional positions:
Be  0.500  0.500  0.500
Zn  0.000  0.000  0.000
Ir  0.000  0.000  0.500
Ir  0.000  0.500  0.000
Se  0.500  0.000  0.000


Here is crystalline NaGaI2 at its relaxed geometry from the Alexandria database. Energies are from PBEsol.

formation energy from raw total energies	-0.6244	eV per atom
symmetry	No. 122
crystal system	tetragonal

abc: 6.979 6.979 9.008
angles: 112.79 112.79 90.00
Fractional positions:
I  0.865  0.375  0.250
I  0.385  0.875  0.250
I  0.625  0.615  0.750
I  0.125  0.135  0.750
Na  0.750  0.250  0.500
Na  0.500  0.500  0.000
Ga  0.250  0.750  0.500
Ga  0.000  0.000  0.000


Here is crystalline CaMn4O8 at its relaxed geometry from the Alexandria database. Energies are from PBEsol.

formation energy from raw total energies	-1.9072	eV per atom
symmetry	No. 12
crystal system	monoclinic
energy relative to the lowest polymorph listed for this composition	0.0	meV per atom

abc: 5.613 5.802 5.627
angles: 89.99 59.92 75.63
Site moments in Bohr magnetons follow the coordinates.
Fractional positions:
Ca  0.500  0.000  0.500  0.00
Mn  0.005  0.489  0.248  2.35
Mn  0.500  0.500  0.753  2.41
Mn  0.995  0.511  0.752  2.35
Mn  0.500  0.500  0.247  2.41
O  0.231  0.314  0.392  0.02
O  0.231  0.314  0.878  0.02
O  0.731  0.324  0.885  0.04
O  0.724  0.312  0.388  0.04
O  0.269  0.676  0.115  0.04
O  0.276  0.688  0.612  0.04
O  0.769  0.686  0.608  0.02
O  0.769  0.686  0.122  0.02


Here is crystalline HfBe2Tc2 at its relaxed geometry from the Alexandria database. Energies are from PBEsol.

symmetry	No. 127
energy relative to the elements	-361.9	meV per atom
crystal system	tetragonal

abc: 3.191 6.254 6.254
angles: 90.00 90.00 90.00
Fractional positions:
Be  0.000  0.386  0.886
Be  0.000  0.886  0.614
Be  0.000  0.614  0.114
Be  0.000  0.114  0.386
Hf  0.000  0.000  0.000
Hf  0.000  0.500  0.500
Tc  0.500  0.174  0.674
Tc  0.500  0.674  0.826
Tc  0.500  0.826  0.326
Tc  0.500  0.326  0.174


Here is crystalline LiAg2Pb at its relaxed geometry from the Alexandria database. Energies are from PBEsol.

symmetry	No. 216
energy relative to the elements	-114.6	meV per atom
crystal system	cubic

abc: 4.721 4.721 4.721
angles: 60.00 60.00 60.00
Fractional positions:
Pb  0.750  0.750  0.750
Ag  0.000  0.000  0.000
Ag  0.250  0.250  0.250
Li  0.500  0.500  0.500


Here is crystalline ScFe2ReW at its relaxed geometry from the Alexandria database. Energies are from PBEsol.

symmetry	No. 123
energy relative to the elements	1291.5	meV per atom
crystal system	tetragonal

abc: 4.393 4.393 4.733
angles: 90.00 90.00 90.00
Site moments in Bohr magnetons follow the coordinates.
Fractional positions:
Sc  0.500  0.500  0.500  -0.14
Re  0.000  0.000  0.500  0.10
Fe  0.000  0.500  0.000  1.45
Fe  0.500  0.000  0.000  1.45
W  0.000  0.000  0.000  -0.26


Here is crystalline DyTlRh2 at its relaxed geometry from the Alexandria database. Energies are from PBEsol.

symmetry	No. 225
energy relative to the elements	-548.4	meV per atom
crystal system	cubic

abc: 4.648 4.648 4.648
angles: 60.00 60.00 60.00
Fractional positions:
Tl  0.000  0.000  0.000
Rh  0.750  0.750  0.750
Rh  0.250  0.250  0.250
Dy  0.500  0.500  0.500


Here is crystalline Sb2IrAu at its relaxed geometry from the Alexandria database. Energies are from PBEsol.

formation energy from raw total energies	0.2237	eV per atom
symmetry	No. 139
crystal system	tetragonal
energy relative to the lowest polymorph listed for this composition	112.3	meV per atom

abc: 4.625 4.878 4.625
angles: 61.70 90.00 118.30
Fractional positions:
Au  0.000  0.000  0.000
Ir  0.500  0.000  0.500
Sb  0.250  0.500  0.250
Sb  0.750  0.500  0.750


Number 1: magnetization 0.0 μB per formula unit. Number 2: magnetization 0.0 μB per formula unit. Number 3: magnetization 0.0 μB per formula unit. Number 4: magnetization 0.0 μB per formula unit. Number 5: magnetization 0.0 μB per formula unit. Number 6: magnetization 0.0 μB per formula unit. Number 7: magnetization 10.0 μB per formula unit. Number 8: magnetization 0.0 μB per formula unit. Number 9: magnetization 0.0 μB per formula unit. Number 10: magnetization 2.5 μB per formula unit. Number 11: magnetization 0.0 μB per formula unit. Number 12: magnetization 0.0 μB per formula unit.